Entry 1:
Na2NpCuF8 PBE-GGA relaxed; energy relative to the elements, uncorrected = -2768 meV/atom; E_tot = -5.655 eV/atom; SG = No. 2
1.0
3.961 0.000 0.000
0.218 5.382 0.000
0.051 0.520 7.941
Na Np Cu F
2 1 1 8
direct
0.012 0.038 0.216
0.988 0.962 0.784
0.500 0.500 0.500
0.500 0.500 0.000
0.008 0.712 0.548
0.144 0.739 0.030
0.472 0.353 0.238
0.476 0.173 0.667
0.524 0.827 0.333
0.528 0.647 0.762
0.856 0.261 0.970
0.992 0.288 0.452

Entry 2:
NaCuSO4F PBE-GGA relaxed; energy relative to the elements, uncorrected = -1488 meV/atom; E_tot = -5.394 eV/atom; SG = No. 15
1.0
3.480 -4.326 0.000
3.480 4.326 0.000
-2.033 0.000 6.586
Na Cu S O F
2 2 2 8 2
direct
0.143 0.857 0.750
0.857 0.143 0.250
0.500 0.500 0.000
0.500 0.500 0.500
0.205 0.795 0.250
0.795 0.205 0.750
0.032 0.247 0.904
0.191 0.573 0.351
0.247 0.032 0.404
0.427 0.809 0.149
0.573 0.191 0.851
0.753 0.968 0.596
0.809 0.427 0.649
0.968 0.753 0.096
0.401 0.599 0.750
0.599 0.401 0.250

Entry 3:
NaCuP2F PBE-GGA relaxed; energy relative to the elements, uncorrected = 159 meV/atom; E_tot = -3.462 eV/atom; SG = No. 123
1.0
4.457 0.000 0.000
0.000 4.457 0.000
0.000 0.000 4.056
Na Cu P F
1 1 2 1
direct
0.000 0.000 0.000
0.500 0.500 0.000
0.000 0.500 0.500
0.500 0.000 0.500
0.000 0.000 0.500